Entry from OQMD via LeMat-Bulk: a relaxed structure of BeCoSO (PBE with a Hubbard U).

Results
VASP energy   -5.436 eV per atom
SG   Pbca, No. 61
Energy above the lowest structure with this stoichiometry   364 meV per atom
V   370 Å³/cell

a = 4.9832 Å, b = 5.4832 Å, c = 13.5490 Å
α = 90.00°, β = 90.00°, γ = 90.00°
Sites, in units of the cell vectors:
Be (0.0478, 0.1312, 0.2404)
Be (0.5478, 0.3688, 0.2404)
Be (0.5478, 0.8688, 0.2596)
Be (0.0478, 0.6312, 0.2596)
Be (0.9522, 0.3688, 0.7404)
Be (0.4522, 0.1312, 0.7404)
Be (0.4522, 0.6312, 0.7596)
Be (0.9522, 0.8688, 0.7596)
Co (0.2507, 0.5813, 0.0829)
Co (0.7506, 0.9187, 0.0829)
Co (0.7506, 0.4187, 0.4171)
Co (0.2507, 0.0813, 0.4171)
Co (0.7493, 0.9187, 0.5829)
Co (0.2494, 0.5813, 0.5829)
Co (0.2494, 0.0813, 0.9171)
Co (0.7493, 0.4187, 0.9171)
O (0.2210, 0.3848, 0.2453)
O (0.7210, 0.1152, 0.2454)
O (0.7210, 0.6152, 0.2546)
O (0.2210, 0.8848, 0.2547)
O (0.7790, 0.1152, 0.7453)
O (0.2790, 0.3848, 0.7454)
O (0.2790, 0.8848, 0.7546)
O (0.7790, 0.6152, 0.7547)
S (0.9993, 0.2510, 0.0397)
S (0.4993, 0.2491, 0.0397)
S (0.4993, 0.7491, 0.4603)
S (0.9993, 0.7510, 0.4603)
S (0.0007, 0.2490, 0.5397)
S (0.5007, 0.2509, 0.5397)
S (0.5007, 0.7509, 0.9603)
S (0.0007, 0.7490, 0.9603)